[1]
A plane-wave DFT calculation with PBE was carried out for crystalline In4SiNi at its relaxed geometry.

Values from the calculation:
ΔE_f (raw), eV/atom: 0.73
Space-group type: F-43m, No. 216
Raw total energy, eV/atom: -2.96

a = 5.9045 Å, b = 5.9045 Å, c = 5.9045 Å
α = 60.00°, β = 60.00°, γ = 60.00°
With the nearest neighbours (Å) after each atom.
Fractional coordinates of all 6 atoms:
Ni: 0.7500 0.7500 0.7500  12 In 3.46, 4 Si 3.62
Si: 0.0000 0.0000 0.0000  12 In 3.46, 4 Ni 3.62
In: 0.8743 0.3752 0.3752  6 In 2.95-2.96
In: 0.3752 0.8743 0.3752  6 In 2.95-2.96
In: 0.3752 0.3752 0.3752  6 In 2.95-2.96
In: 0.3752 0.3752 0.8743  6 In 2.95-2.96


[2]
A plane-wave DFT calculation with PBE was carried out for crystalline InSi2Ni at its relaxed geometry.

Values from the calculation:
ΔE_f (raw), eV/atom: 0.18
Space-group type: R-3m, No. 166
Raw total energy, eV/atom: -4.66

a = 9.1036 Å, b = 9.1036 Å, c = 9.1036 Å
α = 18.43°, β = 18.43°, γ = 18.43°
With the nearest neighbours (Å) after each atom.
Fractional coordinates of all 4 atoms:
Si: 0.0187 0.0187 0.0187  3 Ni 2.42
Si: 0.4813 0.4813 0.4813  3 Ni 2.42
In: 0.2500 0.2500 0.2500  6 In 2.92, 6 Si 3.21
Ni: 0.7500 0.7500 0.7500  6 Si 2.42


[3]
A plane-wave DFT calculation with PBE was carried out for crystalline InSi2Ni at its relaxed geometry.

Values from the calculation:
ΔE_f (raw), eV/atom: -0.03
Space-group type: C2/m, No. 12
Raw total energy, eV/atom: -4.87

a = 3.7992 Å, b = 3.7992 Å, c = 6.2079 Å
α = 72.20°, β = 72.20°, γ = 59.62°
With the nearest neighbours (Å) after each atom.
Fractional coordinates of all 4 atoms:
In: 0.7500 0.7500 0.7500  6 Si 3.07-3.08
Ni: 0.2500 0.2500 0.2500  6 Si 2.31
Si: 0.5393 0.5393 0.3786  3 Ni 2.31
Si: 0.9607 0.9607 0.1214  3 Ni 2.31


[4]
A plane-wave DFT calculation with PBE was carried out for crystalline InSi2Ni at its relaxed geometry.

Values from the calculation:
ΔE_f (raw), eV/atom: 0.15
Space-group type: Immm, No. 71
Raw total energy, eV/atom: -4.69

a = 5.9055 Å, b = 5.9055 Å, c = 5.9055 Å
α = 153.17°, β = 135.23°, γ = 52.96°
With the nearest neighbours (Å) after each atom.
Fractional coordinates of all 4 atoms:
Ni: 0.2500 0.7500 0.5000  4 Si 2.50, 4 In 2.63, 2 Ni 2.74
Si: 0.4479 0.4479 0.0000  2 Ni 2.50, 2 Si 2.74
Si: 0.0521 0.0521 0.0000  2 Ni 2.50, 2 Si 2.74
In: 0.7500 0.2500 0.5000  4 Ni 2.63, 2 In 2.74


[5]
A plane-wave DFT calculation with PBE was carried out for crystalline InSi2Ni at its relaxed geometry.

Values from the calculation:
ΔE_f (raw), eV/atom: 0.08
Space-group type: P4/mmm, No. 123
Raw total energy, eV/atom: -4.76

a = 2.9399 Å, b = 2.9407 Å, c = 7.5887 Å
α = 90.00°, β = 90.00°, γ = 90.00°
With the nearest neighbours (Å) after each atom.
Fractional coordinates of all 4 atoms:
Ni: 0.5000 0.5000 0.7500  8 Si 2.48
In: 0.5000 0.5000 0.2500  4 In 2.94, 8 Si 3.20
Si: 0.0000 0.0000 0.9290  4 Ni 2.48, 1 Si 2.72
Si: 0.0000 0.0000 0.5710  4 Ni 2.48, 1 Si 2.72


[6]
A plane-wave DFT calculation with PBE was carried out for crystalline InSi2Ni at its relaxed geometry.

Values from the calculation:
ΔE_f (raw), eV/atom: 0.14
Space-group type: R3m, No. 160
Raw total energy, eV/atom: -4.70

a = 7.7722 Å, b = 7.7722 Å, c = 7.7722 Å
α = 23.44°, β = 23.44°, γ = 23.44°
With the nearest neighbours (Å) after each atom.
Fractional coordinates of all 4 atoms:
Si: 0.0072 0.0072 0.0072  3 Ni 2.32, 3 Si 2.55
Si: 0.2619 0.2619 0.2619  3 Si 2.55
Ni: 0.7370 0.7370 0.7370  3 Si 2.32
In: 0.4939 0.4939 0.4939  3 Ni 2.74, 3 Si 2.93


[7]
A plane-wave DFT calculation with PBE was carried out for crystalline InSi2Ni at its relaxed geometry.

Values from the calculation:
ΔE_f (raw), eV/atom: 0.44
Space-group type: F-43m, No. 216
Raw total energy, eV/atom: -4.40

a = 4.5126 Å, b = 4.5126 Å, c = 4.5126 Å
α = 60.00°, β = 60.00°, γ = 60.00°
With the nearest neighbours (Å) after each atom.
Fractional coordinates of all 4 atoms:
Si: 0.7500 0.7500 0.7500  4 In 2.76, 4 Si 2.76
Si: 0.0000 0.0000 0.0000  4 Ni 2.76, 4 Si 2.76
In: 0.5000 0.5000 0.5000  4 Ni 2.76, 4 Si 2.76
Ni: 0.2500 0.2500 0.2500  4 In 2.76, 4 Si 2.76


[8]
A plane-wave DFT calculation with PBE was carried out for crystalline InSi2Ni at its relaxed geometry.

Values from the calculation:
ΔE_f (raw), eV/atom: 0.07
Space-group type: P2/m, No. 10
Raw total energy, eV/atom: -4.78

a = 3.9094 Å, b = 4.2227 Å, c = 4.5939 Å
α = 70.14°, β = 90.00°, γ = 90.00°
With the nearest neighbours (Å) after each atom.
Fractional coordinates of all 4 atoms:
Ni: 0.5000 0.7500 0.7500  4 Si 2.31, 2 In 2.54
In: 0.5000 0.2500 0.2500  2 Ni 2.54
Si: 0.0000 0.8605 0.9669  2 Ni 2.31, 2 Si 2.45-2.47
Si: 0.0000 0.6395 0.5331  2 Ni 2.31, 2 Si 2.45-2.47


[9]
A plane-wave DFT calculation with PBE was carried out for crystalline InSi2Ni at its relaxed geometry.

Values from the calculation:
ΔE_f (raw), eV/atom: 0.11
Space-group type: P4mm, No. 99
Raw total energy, eV/atom: -4.73

a = 2.9502 Å, b = 2.9502 Å, c = 7.3726 Å
α = 90.00°, β = 90.00°, γ = 90.03°
With the nearest neighbours (Å) after each atom.
Fractional coordinates of all 4 atoms:
Ni: 0.5000 0.5000 0.8117  4 Si 2.37
In: 0.0000 0.0000 0.5364  4 Ni 2.91, 4 In 2.95, 1 Si 3.14
Si: 0.5000 0.5000 0.1890  8 Si 2.67-2.95, 1 Ni 2.78
Si: 0.0000 0.0000 0.9629  4 Ni 2.37


[10]
A plane-wave DFT calculation with PBE was carried out for crystalline In2SiNiSn at its relaxed geometry.

Values from the calculation:
ΔE_f (raw), eV/atom: 0.35
Space-group type: P4/mmm, No. 123
Raw total energy, eV/atom: -3.79

a = 4.9248 Å, b = 4.9645 Å, c = 4.9248 Å
α = 90.00°, β = 90.00°, γ = 90.00°
With the nearest neighbours (Å) after each atom.
Fractional coordinates of all 5 atoms:
In: 0.0000 0.0000 0.5000  2 Ni 2.46
In: 0.5000 0.0000 0.0000  2 Ni 2.46
Ni: 0.0000 0.0000 0.0000  4 In 2.46, 2 Sn 2.48
Si: 0.5000 0.5000 0.5000  4 Sn 3.48, 8 In 3.50
Sn: 0.0000 0.5000 0.0000  2 Ni 2.48


[11]
A plane-wave DFT calculation with PBE was carried out for crystalline InSi2NiSn at its relaxed geometry.

Values from the calculation:
ΔE_f (raw), eV/atom: 1.52
Space-group type: P4/mmm, No. 123
Raw total energy, eV/atom: -3.15

a = 5.0103 Å, b = 5.6198 Å, c = 5.0103 Å
α = 90.00°, β = 90.00°, γ = 90.00°
With the nearest neighbours (Å) after each atom.
Fractional coordinates of all 5 atoms:
Si: 0.0000 0.0000 0.5000  2 In 2.51
Si: 0.5000 0.0000 0.0000  2 In 2.51
Sn: 0.0000 0.5000 0.0000  2 In 2.81
In: 0.0000 0.0000 0.0000  4 Si 2.51
Ni: 0.5000 0.5000 0.5000  4 Sn 3.54, 8 Si 3.76


[12]
A plane-wave DFT calculation with PBE was carried out for crystalline InSiNiTe2 at its relaxed geometry.

Values from the calculation:
ΔE_f (raw), eV/atom: 1.27
Space-group type: P4/mmm, No. 123
Raw total energy, eV/atom: -2.77

a = 5.6901 Å, b = 4.9833 Å, c = 5.6901 Å
α = 90.00°, β = 90.00°, γ = 90.00°
With the nearest neighbours (Å) after each atom.
Fractional coordinates of all 5 atoms:
In: 0.0000 0.0000 0.0000  2 Si 2.49
Si: 0.0000 0.5000 0.0000  2 In 2.49
Te: 0.5000 0.0000 0.0000  2 In 2.85
Te: 0.0000 0.0000 0.5000  2 In 2.85
Ni: 0.5000 0.5000 0.5000  8 Te 3.78, 4 Si 4.02